The following is a DFT calculation (PBE) of a relaxed structure of Zr5Pa3H12.

a b c (Å): 10.7357 10.7357 10.7357
angles (deg): 109.47 109.47 109.47
Closest atoms and distances in Å follow each position.
Sites, in units of the cell vectors:
Pa 0.7500 0.3750 0.1250  8 H 2.26-2.27
Pa 0.8750 0.7500 0.1250  8 H 2.26-2.27
Pa 0.3750 0.7500 0.6250  8 H 2.26-2.27
Pa 0.2500 0.1250 0.3750  8 H 2.26-2.27
Pa 0.8750 0.1250 0.2500  8 H 2.26-2.27
Pa 0.3750 0.6250 0.2500  8 H 2.26-2.27
Pa 0.6250 0.3750 0.7500  8 H 2.26-2.27
Pa 0.1250 0.8750 0.7500  8 H 2.26-2.27
Pa 0.7500 0.8750 0.6250  8 H 2.26-2.27
Pa 0.6250 0.2500 0.3750  8 H 2.26-2.27
Pa 0.1250 0.2500 0.8750  8 H 2.26-2.27
Pa 0.2500 0.6250 0.8750  8 H 2.26-2.27
Zr 0.1250 0.3750 0.2500  4 H 2.07
Zr 0.0000 0.5000 0.0000  6 H 2.06
Zr 0.0000 0.0000 0.0000  6 H 2.06
Zr 0.3750 0.2500 0.1250  4 H 2.07
Zr 0.5000 0.0000 0.5000  6 H 2.06
Zr 0.5000 0.5000 0.0000  6 H 2.06
Zr 0.1250 0.7500 0.3750  4 H 2.07
Zr 0.7500 0.1250 0.8750  4 H 2.07
Zr 0.7500 0.6250 0.3750  4 H 2.07
Zr 0.3750 0.1250 0.7500  4 H 2.07
Zr 0.6250 0.8750 0.2500  4 H 2.07
Zr 0.5000 0.5000 0.5000  6 H 2.06
Zr 0.5000 0.0000 0.0000  6 H 2.06
Zr 0.0000 0.0000 0.5000  6 H 2.06
Zr 0.2500 0.3750 0.6250  4 H 2.07
Zr 0.2500 0.8750 0.1250  4 H 2.07
Zr 0.0000 0.5000 0.5000  6 H 2.06
Zr 0.8750 0.2500 0.6250  4 H 2.07
Zr 0.6250 0.7500 0.8750  4 H 2.07
Zr 0.8750 0.6250 0.7500  4 H 2.07
H 0.7197 0.1396 0.0586  2 Zr 2.06-2.07, 2 Pa 2.26-2.27
H 0.3389 0.5586 0.4190  2 Zr 2.06-2.07, 2 Pa 2.26-2.27
H 0.9414 0.3604 0.2803  2 Zr 2.06-2.07, 2 Pa 2.26-2.27
H 0.5586 0.2197 0.1396  2 Zr 2.06-2.07, 2 Pa 2.26-2.27
H 0.5801 0.7197 0.6611  2 Zr 2.06-2.07, 2 Pa 2.26-2.27
H 0.9414 0.5810 0.1611  2 Zr 2.06-2.07, 2 Pa 2.26-2.27
H 0.3389 0.7803 0.4199  2 Zr 2.06-2.07, 2 Pa 2.26-2.27
H 0.0810 0.9199 0.1396  2 Zr 2.06-2.07, 2 Pa 2.26-2.27
H 0.5810 0.9414 0.6611  2 Zr 2.06-2.07, 2 Pa 2.26-2.27
H 0.7197 0.5801 0.1611  2 Zr 2.06-2.07, 2 Pa 2.26-2.27
H 0.7803 0.4414 0.3604  2 Zr 2.06-2.07, 2 Pa 2.26-2.27
H 0.8389 0.9190 0.0586  2 Zr 2.06-2.07, 2 Pa 2.26-2.27
H 0.1396 0.7197 0.5586  2 Zr 2.06-2.07, 2 Pa 2.26-2.27
H 0.3604 0.4190 0.0801  2 Zr 2.06-2.07, 2 Pa 2.26-2.27
H 0.0801 0.9190 0.3604  2 Zr 2.06-2.07, 2 Pa 2.26-2.27
H 0.4199 0.1396 0.5810  2 Zr 2.06-2.07, 2 Pa 2.26-2.27
H 0.0801 0.1611 0.2197  2 Zr 2.06-2.07, 2 Pa 2.26-2.27
H 0.4414 0.6611 0.0810  2 Zr 2.06-2.07, 2 Pa 2.26-2.27
H 0.8389 0.9199 0.2803  2 Zr 2.06-2.07, 2 Pa 2.26-2.27
H 0.1396 0.4199 0.0810  2 Zr 2.06-2.07, 2 Pa 2.26-2.27
H 0.3604 0.9414 0.7803  2 Zr 2.06-2.07, 2 Pa 2.26-2.27
H 0.5810 0.6396 0.4199  2 Zr 2.06-2.07, 2 Pa 2.26-2.27
H 0.9190 0.8389 0.5586  2 Zr 2.06-2.07, 2 Pa 2.26-2.27
H 0.7803 0.3389 0.9199  2 Zr 2.06-2.07, 2 Pa 2.26-2.27
H 0.4190 0.3604 0.5801  2 Zr 2.06-2.07, 2 Pa 2.26-2.27
H 0.0810 0.1611 0.4414  2 Zr 2.06-2.07, 2 Pa 2.26-2.27
H 0.2197 0.6611 0.0801  2 Zr 2.06-2.07, 2 Pa 2.26-2.27
H 0.1611 0.0801 0.7197  2 Zr 2.06-2.07, 2 Pa 2.26-2.27
H 0.6396 0.0586 0.2197  2 Zr 2.06-2.07, 2 Pa 2.26-2.27
H 0.8604 0.5801 0.9190  2 Zr 2.06-2.07, 2 Pa 2.26-2.27
H 0.5586 0.3389 0.9190  2 Zr 2.06-2.07, 2 Pa 2.26-2.27
H 0.5801 0.8604 0.4190  2 Zr 2.06-2.07, 2 Pa 2.26-2.27
H 0.9199 0.8389 0.7803  2 Zr 2.06-2.07, 2 Pa 2.26-2.27
H 0.9199 0.0810 0.6396  2 Zr 2.06-2.07, 2 Pa 2.26-2.27
H 0.8604 0.2803 0.4414  2 Zr 2.06-2.07, 2 Pa 2.26-2.27
H 0.1611 0.0810 0.9414  2 Zr 2.06-2.07, 2 Pa 2.26-2.27
H 0.6396 0.5810 0.9199  2 Zr 2.06-2.07, 2 Pa 2.26-2.27
H 0.4190 0.0586 0.3389  2 Zr 2.06-2.07, 2 Pa 2.26-2.27
H 0.2803 0.4199 0.8389  2 Zr 2.06-2.07, 2 Pa 2.26-2.27
H 0.2197 0.5586 0.6396  2 Zr 2.06-2.07, 2 Pa 2.26-2.27
H 0.9190 0.0801 0.8604  2 Zr 2.06-2.07, 2 Pa 2.26-2.27
H 0.6611 0.2197 0.5801  2 Zr 2.06-2.07, 2 Pa 2.26-2.27
H 0.4414 0.7803 0.8604  2 Zr 2.06-2.07, 2 Pa 2.26-2.27
H 0.0586 0.4190 0.8389  2 Zr 2.06-2.07, 2 Pa 2.26-2.27
H 0.4199 0.2803 0.3389  2 Zr 2.06-2.07, 2 Pa 2.26-2.27
H 0.0586 0.6396 0.7197  2 Zr 2.06-2.07, 2 Pa 2.26-2.27
H 0.6611 0.4414 0.5810  2 Zr 2.06-2.07, 2 Pa 2.26-2.27
H 0.2803 0.8604 0.9414  2 Zr 2.06-2.07, 2 Pa 2.26-2.27

Final energy, eV per atom: -5.93
DOS(E_F), states/eV per atom: 0.835
Calculated density, kg/m3: 8098
Crystal system: cubic